Here is a relaxed structure of LaPtCl2 from the Alexandria database. Energies are from PBE-GGA.

Lattice parameters (Å, degrees): 4.264 4.306 4.654 90.00 90.00 90.00
Atoms (fractional coordinates):
La (0.000, 0.000, 0.000)
Pt (0.500, 0.000, 0.500)
Cl (0.000, 0.500, 0.500)
Cl (0.500, 0.500, 0.000)

Results
Density of states at the Fermi level: 1.22 states/eV/cell
Final energy: -19.01 eV per formula unit
Raw formation energy: -1086.1 meV per atom
Mass density: 7.9 g/cm³

***

Here is a relaxed structure of LaPt2Cl from the Alexandria database. Energies are from PBE-GGA.

Lattice parameters (Å, degrees): 11.279 11.279 11.279 159.75 159.75 28.79
Atoms (fractional coordinates):
La (0.000, 0.000, 0.000)
La (0.750, 0.250, 0.500)
Pt (0.118, 0.625, 0.993)
Pt (0.375, 0.368, 0.493)
Pt (0.632, 0.125, 0.007)
Pt (0.875, 0.882, 0.507)
Cl (0.250, 0.750, 0.500)
Cl (0.500, 0.500, 0.000)

Results
Density of states at the Fermi level: 4.06 states/eV/cell
Final energy: -22.13 eV per formula unit
Raw formation energy: -819.5 meV per atom
Mass density: 10.9 g/cm³

***

Here is a relaxed structure of La7PtCl12 from the Alexandria database. Energies are from PBE-GGA.

Lattice parameters (Å, degrees): 9.439 9.439 9.439 107.86 107.86 107.86
Atoms (fractional coordinates):
La (0.000, 0.000, 0.000)
La (0.170, 0.473, 0.371)
La (0.371, 0.170, 0.473)
La (0.473, 0.371, 0.170)
La (0.527, 0.629, 0.830)
La (0.629, 0.830, 0.527)
La (0.830, 0.527, 0.629)
Pt (0.500, 0.500, 0.500)
Cl (0.023, 0.121, 0.329)
Cl (0.121, 0.329, 0.023)
Cl (0.187, 0.582, 0.703)
Cl (0.297, 0.813, 0.418)
Cl (0.329, 0.023, 0.121)
Cl (0.418, 0.297, 0.813)
Cl (0.582, 0.703, 0.187)
Cl (0.671, 0.977, 0.879)
Cl (0.703, 0.187, 0.582)
Cl (0.813, 0.418, 0.297)
Cl (0.879, 0.671, 0.977)
Cl (0.977, 0.879, 0.671)

Results
Density of states at the Fermi level: 7.94 states/eV/cell
Final energy: -103.54 eV per formula unit
Raw formation energy: -2042.2 meV per atom
Mass density: 3.9 g/cm³

***

Here is a relaxed structure of LaPtCl6 from the Alexandria database. Energies are from PBE-GGA.

Lattice parameters (Å, degrees): 6.817 6.817 6.582 98.43 98.43 121.35
Atoms (fractional coordinates):
La (0.000, 0.000, 0.000)
Pt (0.500, 0.500, 0.500)
Cl (0.154, 0.441, 0.286)
Cl (0.247, 0.247, 0.740)
Cl (0.441, 0.154, 0.286)
Cl (0.559, 0.846, 0.714)
Cl (0.753, 0.753, 0.260)
Cl (0.846, 0.559, 0.714)

Results
Density of states at the Fermi level: 1.76 states/eV/cell
Final energy: -32.28 eV per formula unit
Raw formation energy: -1278.8 meV per atom
Mass density: 3.6 g/cm³

***

Here is a relaxed structure of La8PtRh3Cl4 from the Alexandria database. Energies are from PBE-GGA.

Lattice parameters (Å, degrees): 8.371 8.371 9.044 117.61 117.61 60.01
Atoms (fractional coordinates):
La (0.231, 0.738, 0.706)
La (0.236, 0.236, 0.707)
La (0.262, 0.262, 0.294)
La (0.262, 0.769, 0.294)
La (0.738, 0.231, 0.706)
La (0.738, 0.738, 0.706)
La (0.764, 0.764, 0.293)
La (0.769, 0.262, 0.294)
Pt (0.500, 0.500, 0.500)
Rh (0.000, 0.000, 0.500)
Rh (0.000, 0.500, 0.500)
Rh (0.500, 0.000, 0.500)
Cl (0.000, 0.000, 0.000)
Cl (0.000, 0.500, 0.000)
Cl (0.500, 0.000, 0.000)
Cl (0.500, 0.500, 0.000)

Results
Density of states at the Fermi level: 7.76 states/eV/cell
Final energy: -96.11 eV per formula unit
Raw formation energy: -1325.8 meV per atom
Mass density: 6.3 g/cm³

***

Here is a relaxed structure of La3PtRhCl from the Alexandria database. Energies are from PBE-GGA.

Lattice parameters (Å, degrees): 7.698 4.001 11.369 90.00 103.73 90.00
Atoms (fractional coordinates):
La (0.200, 0.250, 0.475)
La (0.243, 0.250, 0.137)
La (0.258, 0.750, 0.811)
La (0.742, 0.250, 0.189)
La (0.757, 0.750, 0.863)
La (0.800, 0.750, 0.525)
Pt (0.007, 0.750, 0.314)
Pt (0.993, 0.250, 0.686)
Rh (0.452, 0.750, 0.071)
Rh (0.548, 0.250, 0.929)
Cl (0.471, 0.750, 0.622)
Cl (0.529, 0.250, 0.378)

Results
Density of states at the Fermi level: 7.24 states/eV/cell
Final energy: -36.71 eV per formula unit
Raw formation energy: -1115.3 meV per atom
Mass density: 7.3 g/cm³

***

Here is a relaxed structure of La4PtRhCl2 from the Alexandria database. Energies are from PBE-GGA.

Lattice parameters (Å, degrees): 7.323 4.205 8.017 90.00 108.04 90.00
Atoms (fractional coordinates):
La (0.232, 0.000, 0.206)
La (0.258, 0.500, 0.794)
La (0.742, 0.500, 0.206)
La (0.768, 0.000, 0.794)
Pt (0.500, 0.000, 0.000)
Rh (0.000, 0.500, 0.000)
Cl (0.000, 0.000, 0.500)
Cl (0.500, 0.500, 0.500)

Results
Density of states at the Fermi level: 5.01 states/eV/cell
Final energy: -47.72 eV per formula unit
Raw formation energy: -1365.0 meV per atom
Mass density: 6.5 g/cm³

***

Here is a relaxed structure of La6Ru2PtCl3 from the Alexandria database. Energies are from PBE-GGA.

Lattice parameters (Å, degrees): 7.211 7.211 8.043 98.55 98.55 120.02
Atoms (fractional coordinates):
La (0.086, 0.432, 0.795)
La (0.222, 0.222, 0.205)
La (0.432, 0.086, 0.795)
La (0.568, 0.914, 0.205)
La (0.778, 0.778, 0.795)
La (0.914, 0.568, 0.205)
Ru (0.166, 0.834, 0.000)
Ru (0.834, 0.166, 0.000)
Pt (0.500, 0.500, 0.000)
Cl (0.000, 0.000, 0.500)
Cl (0.328, 0.672, 0.500)
Cl (0.672, 0.328, 0.500)

Results
Density of states at the Fermi level: 4.10 states/eV/cell
Final energy: -74.10 eV per formula unit
Raw formation energy: -1200.1 meV per atom
Mass density: 6.4 g/cm³

***

Here is a relaxed structure of La8RuPt3Cl4 from the Alexandria database. Energies are from PBE-GGA.

Lattice parameters (Å, degrees): 8.463 8.463 9.034 117.97 117.97 60.01
Atoms (fractional coordinates):
La (0.231, 0.231, 0.707)
La (0.231, 0.746, 0.707)
La (0.254, 0.769, 0.293)
La (0.264, 0.264, 0.293)
La (0.736, 0.736, 0.707)
La (0.746, 0.231, 0.707)
La (0.769, 0.254, 0.293)
La (0.769, 0.769, 0.293)
Ru (0.000, 0.000, 0.500)
Pt (0.000, 0.500, 0.500)
Pt (0.500, 0.000, 0.500)
Pt (0.500, 0.500, 0.500)
Cl (0.000, 0.000, 0.000)
Cl (0.000, 0.500, 0.000)
Cl (0.500, 0.000, 0.000)
Cl (0.500, 0.500, 0.000)

Results
Density of states at the Fermi level: 9.93 states/eV/cell
Final energy: -95.99 eV per formula unit
Raw formation energy: -1361.4 meV per atom
Mass density: 6.8 g/cm³

***

Here is a relaxed structure of LaPtSCl2 from the Alexandria database. Energies are from PBE-GGA.

Lattice parameters (Å, degrees): 5.421 5.421 5.713 90.00 90.00 90.00
Atoms (fractional coordinates):
La (0.000, 0.000, 0.000)
Pt (0.500, 0.500, 0.500)
S (0.000, 0.000, 0.500)
Cl (0.000, 0.500, 0.000)
Cl (0.500, 0.000, 0.000)

Results
Density of states at the Fermi level: 5.09 states/eV/cell
Final energy: -21.01 eV per formula unit
Raw formation energy: -443.2 meV per atom
Mass density: 4.3 g/cm³

***

Here is a relaxed structure of La4PtSCl2 from the Alexandria database. Energies are from PBE-GGA.

Lattice parameters (Å, degrees): 7.380 4.158 7.435 90.00 109.36 90.00
Atoms (fractional coordinates):
La (0.230, 0.000, 0.240)
La (0.234, 0.500, 0.737)
La (0.766, 0.500, 0.263)
La (0.770, 0.000, 0.760)
Pt (0.000, 0.500, 0.000)
S (0.000, 0.000, 0.500)
Cl (0.500, 0.000, 0.000)
Cl (0.500, 0.500, 0.500)

Results
Density of states at the Fermi level: 4.66 states/eV/cell
Final energy: -46.71 eV per formula unit
Raw formation energy: -1642.8 meV per atom
Mass density: 6.6 g/cm³

***

Here is a relaxed structure of La6PtS2Cl3 from the Alexandria database. Energies are from PBE-GGA.

Lattice parameters (Å, degrees): 7.287 7.287 7.260 99.60 99.60 120.05
Atoms (fractional coordinates):
La (0.083, 0.422, 0.764)
La (0.240, 0.240, 0.234)
La (0.422, 0.083, 0.764)
La (0.578, 0.917, 0.236)
La (0.760, 0.760, 0.766)
La (0.917, 0.578, 0.236)
Pt (0.500, 0.500, 0.000)
S (0.167, 0.833, 0.000)
S (0.833, 0.167, 0.000)
Cl (0.000, 0.000, 0.500)
Cl (0.337, 0.663, 0.500)
Cl (0.663, 0.337, 0.500)

Results
Density of states at the Fermi level: 8.37 states/eV/cell
Final energy: -70.00 eV per formula unit
Raw formation energy: -1716.9 meV per atom
Mass density: 6.3 g/cm³

***

Here is a relaxed structure of LaPtSCl2 from the Alexandria database. Energies are from PBE-GGA.

Lattice parameters (Å, degrees): 4.819 4.819 4.977 90.00 90.00 90.00
Atoms (fractional coordinates):
La (0.000, 0.000, 0.000)
Pt (0.500, 0.500, 0.500)
S (0.500, 0.500, 0.000)
Cl (0.000, 0.500, 0.500)
Cl (0.500, 0.000, 0.500)

Results
Density of states at the Fermi level: 4.21 states/eV/cell
Final energy: -23.03 eV per formula unit
Raw formation energy: -847.5 meV per atom
Mass density: 6.3 g/cm³

***

Here is a relaxed structure of La4Pt2SCl from the Alexandria database. Energies are from PBE-GGA.

Lattice parameters (Å, degrees): 7.272 4.198 7.734 90.00 108.19 90.00
Atoms (fractional coordinates):
La (0.235, 0.000, 0.226)
La (0.248, 0.500, 0.767)
La (0.752, 0.500, 0.233)
La (0.765, 0.000, 0.774)
Pt (0.000, 0.500, 0.000)
Pt (0.500, 0.000, 0.000)
S (0.000, 0.000, 0.500)
Cl (0.500, 0.500, 0.500)

Results
Density of states at the Fermi level: 6.73 states/eV/cell
Final energy: -49.88 eV per formula unit
Raw formation energy: -1513.9 meV per atom
Mass density: 7.5 g/cm³

***

Here is a relaxed structure of La8Pt3SCl4 from the Alexandria database. Energies are from PBE-GGA.

Lattice parameters (Å, degrees): 8.672 8.672 8.672 58.59 58.59 58.59
Atoms (fractional coordinates):
La (0.238, 0.238, 0.238)
La (0.244, 0.743, 0.743)
La (0.257, 0.257, 0.756)
La (0.257, 0.756, 0.257)
La (0.743, 0.244, 0.743)
La (0.743, 0.743, 0.244)
La (0.756, 0.257, 0.257)
La (0.762, 0.762, 0.762)
Pt (0.000, 0.000, 0.500)
Pt (0.000, 0.500, 0.000)
Pt (0.500, 0.000, 0.000)
S (0.500, 0.500, 0.500)
Cl (0.000, 0.000, 0.000)
Cl (0.000, 0.500, 0.500)
Cl (0.500, 0.000, 0.500)
Cl (0.500, 0.500, 0.000)

Results
Density of states at the Fermi level: 14.62 states/eV/cell
Final energy: -93.42 eV per formula unit
Raw formation energy: -1523.0 meV per atom
Mass density: 7.0 g/cm³

***

Here is a relaxed structure of LaSb2PtCl from the Alexandria database. Energies are from PBE-GGA.

Lattice parameters (Å, degrees): 5.285 5.285 5.002 90.00 90.00 90.00
Atoms (fractional coordinates):
La (0.000, 0.000, 0.000)
Sb (0.000, 0.500, 0.500)
Sb (0.500, 0.000, 0.500)
Pt (0.500, 0.500, 0.500)
Cl (0.500, 0.500, 0.000)

Results
Density of states at the Fermi level: 2.76 states/eV/cell
Final energy: -23.26 eV per formula unit
Raw formation energy: -440.1 meV per atom
Mass density: 7.3 g/cm³

***

Here is a relaxed structure of La3SbPtCl from the Alexandria database. Energies are from PBE-GGA.

Lattice parameters (Å, degrees): 7.558 4.249 11.619 90.00 101.22 90.00
Atoms (fractional coordinates):
La (0.040, 0.250, 0.144)
La (0.274, 0.250, 0.503)
La (0.458, 0.750, 0.846)
La (0.542, 0.250, 0.154)
La (0.726, 0.750, 0.497)
La (0.960, 0.750, 0.856)
Sb (0.345, 0.750, 0.311)
Sb (0.655, 0.250, 0.689)
Pt (0.235, 0.250, 0.943)
Pt (0.765, 0.750, 0.057)
Cl (0.116, 0.750, 0.632)
Cl (0.884, 0.250, 0.368)

Results
Density of states at the Fermi level: 9.93 states/eV/cell
Final energy: -34.74 eV per formula unit
Raw formation energy: -1324.6 meV per atom
Mass density: 7.0 g/cm³

***

Here is a relaxed structure of LaPtSe2Cl from the Alexandria database. Energies are from PBE-GGA.

Lattice parameters (Å, degrees): 5.818 5.818 5.315 90.00 90.00 90.00
Atoms (fractional coordinates):
La (0.000, 0.000, 0.000)
Pt (0.500, 0.500, 0.500)
Se (0.000, 0.500, 0.000)
Se (0.500, 0.000, 0.000)
Cl (0.000, 0.000, 0.500)

Results
Density of states at the Fermi level: 6.46 states/eV/cell
Final energy: -19.87 eV per formula unit
Raw formation energy: -16.9 meV per atom
Mass density: 4.9 g/cm³

***

Here is a relaxed structure of La8Pt3SeCl4 from the Alexandria database. Energies are from PBE-GGA.

Lattice parameters (Å, degrees): 8.645 8.645 8.645 59.45 59.45 59.45
Atoms (fractional coordinates):
La (0.238, 0.749, 0.749)
La (0.239, 0.239, 0.239)
La (0.251, 0.251, 0.762)
La (0.251, 0.762, 0.251)
La (0.749, 0.238, 0.749)
La (0.749, 0.749, 0.238)
La (0.761, 0.761, 0.761)
La (0.762, 0.251, 0.251)
Pt (0.000, 0.000, 0.500)
Pt (0.000, 0.500, 0.000)
Pt (0.500, 0.000, 0.000)
Se (0.500, 0.500, 0.500)
Cl (0.000, 0.000, 0.000)
Cl (0.000, 0.500, 0.500)
Cl (0.500, 0.000, 0.500)
Cl (0.500, 0.500, 0.000)

Results
Density of states at the Fermi level: 13.45 states/eV/cell
Final energy: -92.47 eV per formula unit
Raw formation energy: -1503.4 meV per atom
Mass density: 7.1 g/cm³

***

Here is a relaxed structure of La3PtSeCl from the Alexandria database. Energies are from PBE-GGA.

Lattice parameters (Å, degrees): 8.664 4.241 9.668 90.00 102.08 90.00
Atoms (fractional coordinates):
La (0.064, 0.250, 0.334)
La (0.231, 0.250, 0.992)
La (0.390, 0.750, 0.611)
La (0.610, 0.250, 0.389)
La (0.769, 0.750, 0.008)
La (0.936, 0.750, 0.666)
Pt (0.166, 0.250, 0.649)
Pt (0.834, 0.750, 0.351)
Se (0.316, 0.750, 0.263)
Se (0.684, 0.250, 0.737)
Cl (0.410, 0.750, 0.902)
Cl (0.590, 0.250, 0.098)

Results
Density of states at the Fermi level: 10.41 states/eV/cell
Final energy: -34.61 eV per formula unit
Raw formation energy: -1409.8 meV per atom
Mass density: 6.9 g/cm³

***

Here is a relaxed structure of La6Pt2Se3Cl from the Alexandria database. Energies are from PBE-GGA.

Lattice parameters (Å, degrees): 9.803 9.803 8.774 104.73 104.73 24.68
Atoms (fractional coordinates):
La (0.001, 0.001, 0.257)
La (0.330, 0.330, 0.903)
La (0.331, 0.331, 0.433)
La (0.669, 0.669, 0.567)
La (0.670, 0.670, 0.097)
La (0.999, 0.999, 0.743)
Pt (0.164, 0.164, 0.325)
Pt (0.836, 0.836, 0.675)
Se (0.163, 0.163, 0.832)
Se (0.500, 0.500, 0.500)
Se (0.837, 0.837, 0.168)
Cl (0.500, 0.500, 0.000)

Results
Density of states at the Fermi level: 9.34 states/eV/cell
Final energy: -73.59 eV per formula unit
Raw formation energy: -1637.2 meV per atom
Mass density: 7.3 g/cm³

***

Here is a relaxed structure of La4PtSeCl2 from the Alexandria database. Energies are from PBE-GGA.

Lattice parameters (Å, degrees): 7.303 4.205 7.642 90.00 109.47 90.00
Atoms (fractional coordinates):
La (0.232, 0.000, 0.232)
La (0.247, 0.500, 0.752)
La (0.753, 0.500, 0.248)
La (0.768, 0.000, 0.768)
Pt (0.000, 0.500, 0.000)
Se (0.000, 0.000, 0.500)
Cl (0.500, 0.000, 0.000)
Cl (0.500, 0.500, 0.500)

Results
Density of states at the Fermi level: 4.85 states/eV/cell
Final energy: -45.72 eV per formula unit
Raw formation energy: -1599.2 meV per atom
Mass density: 6.8 g/cm³